No. 1
The following is a DFT calculation (PBE) of a relaxed NdGdPa4 crystal.

As for the total energy: -221.6 eV/cell.

The space group is F-43m (No. 216) and the conventional cell measures 8.735, 8.735 and 8.735 Å, with angles of 90.00, 90.00 and 90.00 degrees. Symmetry generates all atoms from Nd at (0.000, 0.000, 0.000), Gd at (0.250, 0.250, 0.750) and Pa at (0.125, 0.125, 0.375).

No. 2
The following is a DFT calculation (PBE) of a relaxed TiIrSeN2 crystal.

As for the total energy: -33.8 eV/cell. Its offset from the most stable computed form is 0 meV/atom.

The space group is P4/mmm (No. 123) and the conventional cell measures 3.701, 3.701 and 7.306 Å, with angles of 90.00, 90.00 and 90.00 degrees. Symmetry generates all atoms from Ti at (0.000, 0.000, 0.000), Ir at (0.500, 0.500, 0.500), Se at (0.500, 0.500, 0.000) and N at (0.000, 0.500, 0.500).

No. 3
The following is a DFT calculation (PBE) of a relaxed PrGd2Au crystal.

As for the total energy: -37.8 eV/cell. Its offset from the most stable computed form is 0 meV/atom.

The space group is P4/mmm (No. 123) and the conventional cell measures 3.671, 3.671 and 8.687 Å, with angles of 90.00, 90.00 and 90.00 degrees. Symmetry generates all atoms from Pr at (0.000, 0.000, 0.000), Gd at (0.500, 0.500, 0.297) and Au at (0.000, 0.000, 0.500).

No. 4
The following is a DFT calculation (PBE) of a relaxed NdPuTlAu crystal.

As for the total energy: -104.0 eV/cell.

The space group is F-43m (No. 216) and the conventional cell measures 7.571, 7.571 and 7.571 Å, with angles of 90.00, 90.00 and 90.00 degrees. Symmetry generates all atoms from Nd at (0.000, 0.000, 0.000), Pu at (0.000, 0.000, 0.500), Tl at (0.250, 0.250, 0.750) and Au at (0.250, 0.250, 0.250).

No. 5
The following is a DFT calculation (PBE) of a relaxed CeTm2Tl crystal.

As for the total energy: -52.8 eV/cell. Its offset from the most stable computed form is 41 meV/atom.

The space group is R-3m (No. 166, hexagonal axes) and the conventional cell measures 3.4840, 3.4840 and 32.4528 Å, with angles of 90.00, 90.00 and 120.00 degrees. Symmetry generates all atoms from Ce at (0.0000, 0.0000, 0.0000), Tm at (0.0000, 0.0000, 0.2476) and Tl at (0.0000, 0.0000, 0.5000).

No. 6
The following is a DFT calculation (PBE) of a relaxed Y2CdAg crystal.

As for the total energy: -18.0 eV/cell.

The space group is P2/m (No. 10) and the conventional cell measures 3.706, 3.696 and 7.379 Å, with angles of 90.00, 90.12 and 90.00 degrees. Symmetry generates all atoms from Y at (0.000, 0.000, 0.242), Cd at (0.500, 0.500, 0.500) and Ag at (0.500, 0.500, 0.000).

No. 7
The following is a DFT calculation (PBE) of a relaxed BaPBr2 crystal.

As for the total energy: -13.2 eV/cell. Its offset from the most stable computed form is 269 meV/atom.

The space group is P4/mmm (No. 123) and the conventional cell measures 4.188, 4.188 and 8.212 Å, with angles of 90.00, 90.00 and 90.00 degrees. Symmetry generates all atoms from Ba at (0.000, 0.000, 0.000), P at (0.000, 0.000, 0.500) and Br at (0.500, 0.500, 0.212).